Record 1
! Cd2CoOs (PBE, optimized geometry); values from VASP
&SYSTEM
  ibrav = 0, nat = 4, ntyp = 3
/
ATOMIC_SPECIES
Cd 112.41 Cd.upf
Co 58.93 Co.upf
Os 190.23 Os.upf
ATOMIC_POSITIONS crystal
Cd 0.000 0.000 0.011
Cd 0.000 0.000 0.489
Co 0.500 0.500 0.250
Os 0.500 0.500 0.750
CELL_PARAMETERS angstrom
-0.884 -2.525 -0.742
0.487 0.377 2.707
-8.932 2.767 1.221
! **Magnetic moment**: 0.413 μB per atom
! **E**: -0.3272 Ry per atom
! **ΔE_f**: 0.590 eV per atom

***

Record 2
! SbAsPBr2 (PBE, optimized geometry); values from VASP
&SYSTEM
  ibrav = 0, nat = 5, ntyp = 4
/
ATOMIC_SPECIES
Sb 121.76 Sb.upf
As 74.92 As.upf
Br 79.90 Br.upf
P 30.97 P.upf
ATOMIC_POSITIONS crystal
Sb 0.000 0.000 0.000
As 0.000 0.000 0.500
Br 0.000 0.500 0.000
Br 0.500 0.000 0.000
P 0.500 0.500 0.500
CELL_PARAMETERS angstrom
-2.400 4.738 -1.525
-4.825 -1.799 2.006
1.264 2.276 5.082
! **Uncorrected formation energy**: 0.717 eV per atom
! **Magnetic moment**: 0.239 μB per atom
! **E**: -0.2049 Ry per atom

***

Record 3
! KLaCdSn (PBE, optimized geometry); values from VASP
&SYSTEM
  ibrav = 0, nat = 4, ntyp = 4
/
ATOMIC_SPECIES
K 39.10 K.upf
Cd 112.41 Cd.upf
Sn 118.71 Sn.upf
La 138.91 La.upf
ATOMIC_POSITIONS crystal
K 0.000 0.000 0.000
Cd 0.750 0.750 0.750
Sn 0.250 0.250 0.250
La 0.500 0.500 0.500
CELL_PARAMETERS angstrom
-3.728 2.646 3.341
-5.545 -0.392 -1.079
-3.348 -3.003 3.440
! **Magnetic moment**: 0.000 μB per atom
! **E**: -0.2216 Ry per atom
! **ΔE_f**: -0.279 eV per atom

***

Record 4
! GaGePb (PBE, optimized geometry); values from VASP
&SYSTEM
  ibrav = 0, nat = 12, ntyp = 3
/
ATOMIC_SPECIES
Ge 72.64 Ge.upf
Ga 69.72 Ga.upf
Pb 207.20 Pb.upf
ATOMIC_POSITIONS crystal
Ge 0.750 0.383 0.207
Ge 0.750 0.117 0.707
Ge 0.250 0.883 0.293
Ge 0.250 0.617 0.793
Ga 0.250 0.966 0.800
Ga 0.250 0.534 0.300
Ga 0.750 0.466 0.700
Ga 0.750 0.034 0.200
Pb 0.250 0.293 0.990
Pb 0.250 0.207 0.490
Pb 0.750 0.793 0.510
Pb 0.750 0.707 0.010
CELL_PARAMETERS angstrom
4.268 0.000 0.000
0.000 7.343 0.000
0.000 0.000 9.847
! **Magnetic moment**: 0.000 μB per atom
! **E**: -0.2687 Ry per atom
! **ΔE_f**: 0.128 eV per atom

***

Record 5
! MgBeGe2Pd (PBE, optimized geometry); values from VASP
&SYSTEM
  ibrav = 0, nat = 5, ntyp = 4
/
ATOMIC_SPECIES
Be 9.01 Be.upf
Ge 72.64 Ge.upf
Mg 24.30 Mg.upf
Pd 106.42 Pd.upf
ATOMIC_POSITIONS crystal
Be 0.000 0.500 0.000
Ge 0.000 0.000 0.500
Ge 0.500 0.000 0.000
Mg 0.000 0.000 0.000
Pd 0.500 0.500 0.500
CELL_PARAMETERS angstrom
4.870 0.000 0.000
0.000 4.466 0.000
0.000 0.000 4.870
! **Magnetic moment**: 0.000 μB per atom
! **E**: -0.2121 Ry per atom
! **ΔE_f**: 1.064 eV per atom

***

Record 6
! K2BaTe (PBE, optimized geometry); values from VASP
&SYSTEM
  ibrav = 0, nat = 4, ntyp = 3
/
ATOMIC_SPECIES
Ba 137.33 Ba.upf
K 39.10 K.upf
Te 127.60 Te.upf
ATOMIC_POSITIONS crystal
Ba 0.779 0.779 0.779
K 0.002 0.002 0.002
K 0.222 0.222 0.222
Te 0.497 0.497 0.497
CELL_PARAMETERS angstrom
11.962 -0.027 -0.016
10.920 4.882 -0.016
10.920 2.317 4.297
! **Uncorrected formation energy**: -0.734 eV per atom
! **Magnetic moment**: 0.063 μB per atom
! **E**: -0.1873 Ry per atom

***

Copy entry 5 word for word.
! MgBeGe2Pd (PBE, optimized geometry); values from VASP
&SYSTEM
  ibrav = 0, nat = 5, ntyp = 4
/
ATOMIC_SPECIES
Be 9.01 Be.upf
Ge 72.64 Ge.upf
Mg 24.30 Mg.upf
Pd 106.42 Pd.upf
ATOMIC_POSITIONS crystal
Be 0.000 0.500 0.000
Ge 0.000 0.000 0.500
Ge 0.500 0.000 0.000
Mg 0.000 0.000 0.000
Pd 0.500 0.500 0.500
CELL_PARAMETERS angstrom
4.870 0.000 0.000
0.000 4.466 0.000
0.000 0.000 4.870
! **Magnetic moment**: 0.000 μB per atom
! **E**: -0.2121 Ry per atom
! **ΔE_f**: 1.064 eV per atom

***

Q: Which value of E does entry 2 give?
A: -0.2049 Ry per atom